{
  "formula": "PmSm2Y2",
  "functional": "GGA-PBE",
  "state": "relaxed",
  "spacegroup": "Cmc2_1 (36)",
  "dos_at_fermi_per_ev_atom": 1.600,
  "total_energy_ev_per_atom": -5.37,
  "de_polymorph_mev_per_atom": 0,
  "density_g_cm3": 6.185,
  "lattice_angstrom": [[2.771, -8.503, 0.000], [2.771, 8.503, 0.000], [0.000, 0.000, 7.107]],
  "species": ["Pm", "Pm", "Sm", "Sm", "Sm", "Sm", "Y", "Y", "Y", "Y"],
  "fractional_positions": [[0.108, 0.892, 0.500], [0.892, 0.108, 0.000], [0.109, 0.891, 0.002], [0.302, 0.698, 0.251], [0.698, 0.302, 0.751], [0.891, 0.109, 0.502], [0.301, 0.699, 0.751], [0.500, 0.500, 0.251], [0.500, 0.500, 0.751], [0.699, 0.301, 0.251]]
}